1.
# K2CdCl

A relaxed K2CdCl crystal (GGA-PBE, Alexandria).

The structure belongs to space group C2/m (No. 12); the cell edges are 7.4439, 4.2817 and 9.9473 Å and the angles 90.00°, 104.22° and 90.00°. The distinct sites, in fractional coordinates, are K at (0.2335, 0.0000, 0.2018), Cd at (0.0000, 0.0000, 0.5000) and Cl at (0.0000, 0.5000, 0.0000).

Its energy above the most stable polymorph in this dataset is 12 meV per atom. The formation energy without anion corrections comes out at -0.89 eV per atom.

=====

2.
# K3Cd2Cl7

A relaxed K3Cd2Cl7 crystal (GGA-PBE, Alexandria).

The structure belongs to space group Cmmm (No. 65); the cell edges are 5.3300, 26.2549 and 5.2039 Å and the angles 90.00°, 90.00° and 90.00°. The distinct sites, in fractional coordinates, are K at (0.0000, 0.0000, 0.0000), K at (0.0000, 0.1752, 0.0000), Cd at (0.0000, 0.3981, 0.5000), Cl at (0.0000, 0.0953, 0.5000), Cl at (0.0000, 0.3013, 0.5000), Cl at (0.0000, 0.4038, 0.0000) and Cl at (0.0000, 0.5000, 0.5000).

Its energy above the most stable polymorph in this dataset is 30 meV per atom. The formation energy without anion corrections comes out at -1.48 eV per atom.

=====

3.
# K12Cd3Cl5

A relaxed K12Cd3Cl5 crystal (GGA-PBE, Alexandria).

The structure belongs to space group Ia-3d (No. 230); the cell edges are 19.7840, 19.7840 and 19.7840 Å and the angles 90.00°, 90.00° and 90.00°. The distinct sites, in fractional coordinates, are K at (0.0264, 0.0586, 0.6496), Cd at (0.0000, 0.2500, 0.1250), Cl at (0.0000, 0.0000, 0.0000) and Cl at (0.0000, 0.2500, 0.3750).

The formation energy without anion corrections comes out at -0.86 eV per atom.

=====

Look up the formation energy without anion corrections of the third one. -0.86 eV per atom

=====

The lowest formation energy without anion corrections belongs to which entry? K3Cd2Cl7